BaLiPu2Cl8 after structural relaxation, computed with GGA-PBE.

Cell: 6.641 8.589 6.741 Å, 90.00 93.56 90.00°
Space group P2/m (No. 10)
Symmetry-distinct sites (fractional):
Ba  0.000  0.000  0.000 x1
Li  0.000  0.500  0.000 x1
Pu  0.500  0.264  0.500 x2
Cl  0.220  0.283  0.176 x4
Cl  0.286  0.500  0.671 x2
Cl  0.294  0.000  0.652 x2

Results
raw formation energy: -193.3 kJ per mole of atoms
crystal system: monoclinic
density of states at the Fermi level: 2.22 states/eV per atom

***

NaLi4Pa3Se8 after structural relaxation, computed with GGA-PBE.

Cell: 8.1673 8.1673 19.5551 Å, 90.00 90.00 120.00°
Space group R-3m (No. 166, hexagonal axes)
Symmetry-distinct sites (fractional):
Na  0.0000  0.0000  0.0000 x3
Li  0.0000  0.0000  0.5000 x3
Li  0.0000  0.5000  0.5000 x9
Pa  0.0000  0.5000  0.0000 x9
Se  0.0000  0.0000  0.2462 x6
Se  0.0089  0.5045  0.2480 x18

Results
raw formation energy: -124.8 kJ per mole of atoms
crystal system: trigonal
density of states at the Fermi level: 1.09 states/eV per atom

***

Li2GaCl5 after structural relaxation, computed with GGA-PBE.

Cell: 10.212 12.515 7.351 Å, 90.00 90.00 90.00°
Space group Pnnm (No. 58)
Symmetry-distinct sites (fractional):
Li  0.000  0.000  0.216 x4
Li  0.108  0.273  0.000 x4
Ga  0.226  0.236  0.500 x4
Cl  0.049  0.132  0.500 x4
Cl  0.101  0.632  0.000 x4
Cl  0.124  0.093  0.000 x4
Cl  0.226  0.344  0.262 x8

Results
raw formation energy: -140.9 kJ per mole of atoms
crystal system: orthorhombic
density of states at the Fermi level: 0.00 states/eV per atom